DFT (GGA+U) results for an optimized crystal structure of ReMoI2O.

abc: 5.6779 5.6779 3.7871
angles: 90.00 90.00 90.00
Element x y z (fractional)
Re  0.0000  0.0000  0.0000
Mo  0.5000  0.5000  0.5000
I  0.0000  0.5000  0.0000
I  0.5000  0.0000  0.0000
O  0.0000  0.0000  0.5000

Results
Theoretical density in g/cm3: 7.5
Relative energy among the computed polymorphs in meV/atom: 0
Calculated total energy in eV per atom: -5.266
Crystal system: tetragonal
D(E_F) in states/eV/cell: 1.6
SG: P4/mmm